Material: SiSnSe3
Method: DFT, PBE
State: optimized geometry

The structure in extended XYZ format:
```
5
Lattice="4.906 0.000 0.000 0.000 4.906 0.000 0.000 0.000 4.906" Properties=species:S:1:pos:R:3 pbc="T T T"
Si 0.000 0.000 0.000
Sn 2.453 2.453 2.453
Se 0.000 0.000 2.453
Se 0.000 2.453 0.000
Se 2.453 0.000 0.000
```

Properties
Density of states at the Fermi level, states/eV/f.u.: 3.6
Formation energy from raw total energies, eV per atom: 0.05



Material: La6Sm2HoEr
Method: DFT, PBE
State: optimized geometry

The structure in extended XYZ format:
```
10
Lattice="5.768 -3.508 0.000 5.768 3.508 0.000 -2.799 0.000 8.782" Properties=species:S:1:pos:R:3 pbc="T T T"
La 2.964 1.623 1.753
La 0.300 0.000 3.703
La 5.772 1.623 7.030
La 2.964 -1.623 1.753
La 8.436 0.000 5.079
La 5.772 -1.623 7.030
Sm 2.593 0.000 7.261
Sm 6.143 0.000 1.521
Ho 0.000 0.000 0.000
Er 4.368 0.000 4.391
```

Properties
ΔE_f, meV/atom: 186
Density of states at the Fermi level, states/eV/f.u.: 17.1



Material: LiRe2Br
Method: DFT, PBE
State: optimized geometry

The structure in extended XYZ format:
```
4
Lattice="3.125 0.000 0.000 0.000 1.560 6.799 0.000 -1.560 6.799" Properties=species:S:1:pos:R:3 pbc="T T T"
Li 0.000 0.000 0.000
Re 0.000 0.000 3.097
Re 1.562 0.000 8.588
Br 1.562 0.000 5.605
```

Properties
Density of states at the Fermi level, states/eV/f.u.: 1.2
Formation energy from raw total energies, eV per atom: 0.16
Energy relative to the lowest polymorph listed for this composition, eV per atom: 0.000



Material: Nd8YHo6
Method: DFT, PBE
State: optimized geometry

The structure in extended XYZ format:
```
15
Lattice="4.570 2.639 6.993 -4.570 2.639 6.993 0.000 -5.278 6.993" Properties=species:S:1:pos:R:3 pbc="T T T"
Nd 0.000 0.000 1.635
Nd -1.810 0.864 7.552
Nd 0.157 -1.999 7.552
Nd -1.653 -1.135 13.427
Nd 1.653 1.135 7.552
Nd -0.157 1.999 13.427
Nd 1.810 -0.864 13.427
Nd 0.000 0.000 19.345
Y 0.000 0.000 10.490
Ho -2.548 -2.274 9.674
Ho -3.244 1.070 11.305
Ho 0.695 -3.344 11.305
Ho -0.695 3.344 9.674
Ho 3.244 -1.070 9.674
Ho 2.548 2.274 11.305
```

Properties
ΔE_f, meV/atom: 127
Density of states at the Fermi level, states/eV/f.u.: 23.1



Material: CeGdIn
Method: DFT, PBE
State: optimized geometry

The structure in extended XYZ format:
```
3
Lattice="5.371 0.000 0.000 -2.686 4.652 0.000 0.000 0.000 3.175" Properties=species:S:1:pos:R:3 pbc="T T T"
Ce 0.000 0.000 0.000
Gd 2.686 1.551 0.000
In 0.000 3.101 1.587
```

Properties
ΔE_f, meV/atom: -121
Density of states at the Fermi level, states/eV/f.u.: 7.5
Energy relative to the lowest polymorph listed for this composition, eV per atom: 0.058